Entry 1:
This record from Alexandria via LeMat-Bulk describes a relaxed structure of Ir2Pt. The functional is GGA-PBE.

Cell: 6.1929 6.1929 3.9042 Å, 90.00 90.00 143.35°
With the nearest neighbours (Å) after each atom.
Fractional positions:
Ir: 0.0869 0.9131 0.7500  6 Ir 2.72-2.83, 6 Pt 2.76-2.80
Ir: 0.2510 0.7490 0.2500  8 Ir 2.72-2.76, 4 Pt 2.75-2.76
Ir: 0.7490 0.2510 0.7500  8 Ir 2.72-2.76, 4 Pt 2.75-2.76
Ir: 0.9131 0.0869 0.2500  6 Ir 2.72-2.83, 6 Pt 2.76-2.80
Pt: 0.4154 0.5846 0.7500  10 Ir 2.75-2.80, 2 Pt 2.79
Pt: 0.5846 0.4154 0.2500  10 Ir 2.75-2.80, 2 Pt 2.79

Properties
space group	Cmcm
energy relative to the elements	67.5	meV per atom
ΔE to the lowest computed polymorph	0.11	eV per formula unit

---

Entry 2:
This record from Alexandria via LeMat-Bulk describes a relaxed structure of Ir2Pt3. The functional is GGA-PBE.

Cell: 7.0373 7.0373 7.0373 Å, 51.71 51.71 51.71°
With the nearest neighbours (Å) after each atom.
Fractional positions:
Ir: 0.1369 0.1369 0.1369  6 Pt 2.48-2.63
Ir: 0.3631 0.3631 0.3631  6 Pt 2.48-2.63
Ir: 0.6369 0.6369 0.6369  6 Pt 2.48-2.63
Ir: 0.8631 0.8631 0.8631  6 Pt 2.48-2.63
Pt: 0.0167 0.7500 0.4833  4 Ir 2.48-2.63
Pt: 0.2500 0.5167 0.9833  4 Ir 2.48-2.63
Pt: 0.4833 0.0167 0.7500  4 Ir 2.48-2.63
Pt: 0.5167 0.9833 0.2500  4 Ir 2.48-2.63
Pt: 0.7500 0.4833 0.0167  4 Ir 2.48-2.63
Pt: 0.9833 0.2500 0.5167  4 Ir 2.48-2.63

Properties
space group	R-3c
energy relative to the elements	700.4	meV per atom
ΔE to the lowest computed polymorph	3.44	eV per formula unit